Computed, not measured: a relaxed structure of NdGdTlCd at the PBE-GGA level of DFT.

```
data_NdGdTlCd
_chemical_formula_sum 'Nd4 Gd4 Tl4 Cd4'
_cell_length_a 7.677
_cell_length_b 7.677
_cell_length_c 7.677
_cell_angle_alpha 90.00
_cell_angle_beta 90.00
_cell_angle_gamma 90.00
_space_group_name_H-M_alt 'F -4 3 m'
_space_group_IT_number 216
_space_group_name_Hall 'F -4 2 3'
loop_
_atom_site_label
_atom_site_type_symbol
_atom_site_fract_x
_atom_site_fract_y
_atom_site_fract_z
_atom_site_occupancy
Nd1 Nd 0.000 0.000 0.000 1
Gd1 Gd 0.000 0.000 0.500 1
Tl1 Tl 0.250 0.250 0.750 1
Cd1 Cd 0.250 0.250 0.250 1
```

## Properties
For the energy, the calculation gives -3.533 eV/atom.